Entry from the Alexandria database: a geometry-optimized Pr3Nd2ThAs6 structure (PBE).

Computed properties:
The value obtained for the magnetization is 0.00 μB/f.u. Its space-group type is C2/m, No. 12. The crystal system is monoclinic. The calculation puts the theoretical density at 6.9 g/cm³. The formation energy from the elements is -1511 meV per atom.

Unit cell a=9.580 b=9.580 c=8.579 alpha=102.92 beta=102.92 gamma=25.87
Sites, in units of the cell vectors:
Pr1 0.000 0.000 0.000
Pr2 0.332 0.332 0.668
Pr3 0.668 0.668 0.332
Nd1 0.333 0.333 0.165
Nd2 0.667 0.667 0.835
Th1 0.000 0.000 0.500
As1 0.165 0.165 0.583
As2 0.167 0.167 0.082
As3 0.500 0.500 0.255
As4 0.500 0.500 0.745
As5 0.833 0.833 0.918
As6 0.835 0.835 0.417



Entry from the Alexandria database: a geometry-optimized LiNi2Sb structure (PBE).

Computed properties:
The value obtained for the magnetization is 0.00 μB/f.u. Its space-group type is P4/mmm, No. 123. The energy relative to the elements, uncorrected is -0.046 eV per atom. The crystal system is tetragonal. The calculation puts the theoretical density at 7.2 g/cm³.

Unit cell a=3.254 b=3.254 c=5.369 alpha=90.00 beta=90.00 gamma=90.00
Sites, in units of the cell vectors:
Li1 0.000 0.000 0.000
Ni1 0.500 0.500 0.247
Ni2 0.500 0.500 0.753
Sb1 0.000 0.000 0.500



Entry from the Alexandria database: a geometry-optimized Tb3Dy4 structure (PBE).

Computed properties:
The value obtained for the magnetization is 0.00 μB/f.u. Its space-group type is I4/mmm, No. 139. The crystal system is tetragonal. The calculation puts the theoretical density at 8.5 g/cm³. The formation energy from the elements is 17 meV per atom.

Unit cell a=3.538 b=3.538 c=35.165 alpha=90.00 beta=90.00 gamma=90.00
Sites, in units of the cell vectors:
Tb1 0.000 0.000 0.000
Tb2 0.000 0.000 0.286
Tb3 0.000 0.000 0.714
Tb4 0.500 0.500 0.214
Tb5 0.500 0.500 0.500
Tb6 0.500 0.500 0.786
Dy1 0.000 0.000 0.143
Dy2 0.000 0.000 0.429
Dy3 0.000 0.000 0.571
Dy4 0.000 0.000 0.857
Dy5 0.500 0.500 0.071
Dy6 0.500 0.500 0.357
Dy7 0.500 0.500 0.643
Dy8 0.500 0.500 0.929



Entry from the Alexandria database: a geometry-optimized Sr2ReRu structure (PBE).

Computed properties:
The distance to the lowest polymorph of the same formula is 0.7131 eV per atom. The value obtained for the magnetization is 0.85 μB/f.u. Its space-group type is P4/mmm, No. 123. The crystal system is tetragonal. The calculation puts the theoretical density at 8.7 g/cm³. The formation energy from the elements is 1194 meV per atom.

Unit cell a=4.208 b=4.208 c=4.975 alpha=90.00 beta=90.00 gamma=90.00
Sites, in units of the cell vectors:
Sr1 0.000 0.500 0.000
Sr2 0.500 0.000 0.000
Re1 0.000 0.000 0.500
Ru1 0.500 0.500 0.500



Entry from the Alexandria database: a geometry-optimized Fe structure (PBE).

Computed properties:
The distance to the lowest polymorph of the same formula is 0.7916 eV per atom. The value obtained for the magnetization is 2.39 μB/f.u. Its space-group type is Pm-3m, No. 221. The crystal system is cubic. The calculation puts the theoretical density at 7.0 g/cm³. The formation energy from the elements is 792 meV per atom.

Unit cell a=2.365 b=2.365 c=2.365 alpha=90.00 beta=90.00 gamma=90.00
Sites, in units of the cell vectors:
Fe1 0.000 0.000 0.000



Entry from the Alexandria database: a geometry-optimized TmUPN2 structure (PBE).

Computed properties:
The value obtained for the magnetization is 0.00 μB/f.u. Its space-group type is I4mm, No. 107. The energy relative to the elements, uncorrected is -1.313 eV per atom. The crystal system is tetragonal. The calculation puts the theoretical density at 9.5 g/cm³.

Unit cell a=3.755 b=3.755 c=11.583 alpha=90.00 beta=90.00 gamma=90.00
Sites, in units of the cell vectors:
Tm1 0.000 0.000 0.000
Tm2 0.500 0.500 0.500
U1 0.000 0.000 0.305
U2 0.500 0.500 0.805
P1 0.000 0.000 0.661
P2 0.500 0.500 0.161
N1 0.000 0.500 0.393
N2 0.000 0.500 0.893
N3 0.500 0.000 0.393
N4 0.500 0.000 0.893



Entry from the Alexandria database: a geometry-optimized DyMg9Pd2 structure (PBE).

Computed properties:
The value obtained for the magnetization is 0.00 μB/f.u. Its space-group type is I4_1/amd, No. 141. The crystal system is tetragonal. The calculation puts the theoretical density at 3.8 g/cm³. The formation energy from the elements is -261 meV per atom.

Unit cell a=9.072 b=9.072 c=9.072 alpha=99.90 beta=99.90 gamma=131.01
Sites, in units of the cell vectors:
Dy1 0.375 0.625 0.750
Dy2 0.625 0.375 0.250
Mg1 0.125 0.875 0.250
Mg2 0.132 0.564 0.325
Mg3 0.132 0.807 0.568
Mg4 0.193 0.261 0.325
Mg5 0.193 0.868 0.932
Mg6 0.261 0.193 0.825
Mg7 0.261 0.436 0.068
Mg8 0.436 0.261 0.568
Mg9 0.436 0.868 0.175
Mg10 0.564 0.132 0.825
Mg11 0.564 0.739 0.432
Mg12 0.739 0.564 0.932
Mg13 0.739 0.807 0.175
Mg14 0.807 0.132 0.068
Mg15 0.807 0.739 0.675
Mg16 0.868 0.193 0.432
Mg17 0.868 0.436 0.675
Mg18 0.875 0.125 0.750
Pd1 0.000 0.000 0.000
Pd2 0.000 0.000 0.500
Pd3 0.000 0.500 0.000
Pd4 0.500 0.000 0.500



Entry from the Alexandria database: a geometry-optimized MnTeOs2 structure (PBE).

Computed properties:
The value obtained for the magnetization is 2.95 μB/f.u. Its space-group type is C2/m, No. 12. The energy relative to the elements, uncorrected is 0.522 eV per atom. The crystal system is monoclinic. The calculation puts the theoretical density at 14.6 g/cm³.

Unit cell a=8.669 b=3.002 c=4.997 alpha=90.00 beta=100.84 gamma=90.00
Sites, in units of the cell vectors:
Mn1 0.000 0.000 0.000
Mn2 0.500 0.500 0.000
Te1 0.000 0.500 0.500
Te2 0.500 0.000 0.500
Os1 0.241 0.500 0.220
Os2 0.259 0.000 0.780
Os3 0.741 0.000 0.220
Os4 0.759 0.500 0.780



Entry from the Alexandria database: a geometry-optimized GaBiTe structure (PBE).

Computed properties:
The distance to the lowest polymorph of the same formula is 0.0539 eV per atom. The value obtained for the magnetization is 0.00 μB/f.u. Its space-group type is Cm, No. 8. The energy relative to the elements, uncorrected is -0.152 eV per atom. The crystal system is monoclinic. The calculation puts the theoretical density at 6.9 g/cm³.

Unit cell a=13.013 b=4.308 c=7.633 alpha=90.00 beta=114.45 gamma=90.00
Sites, in units of the cell vectors:
Ga1 0.000 0.000 0.000
Ga2 0.233 0.000 0.674
Ga3 0.500 0.500 0.000
Ga4 0.733 0.500 0.674
Bi1 0.004 0.000 0.636
Bi2 0.335 0.000 0.411
Bi3 0.504 0.500 0.636
Bi4 0.835 0.500 0.411
Te1 0.083 0.500 0.229
Te2 0.279 0.500 0.922
Te3 0.583 0.000 0.229
Te4 0.779 0.000 0.922



Entry from the Alexandria database: a geometry-optimized Dy2TmTl2 structure (PBE).

Computed properties:
The distance to the lowest polymorph of the same formula is 0.0448 eV per atom. The value obtained for the magnetization is 0.00 μB/f.u. Its space-group type is Cmc2_1, No. 36. The crystal system is orthorhombic. The calculation puts the theoretical density at 10.6 g/cm³. The formation energy from the elements is -222 meV per atom.

Unit cell a=8.495 b=8.495 c=6.474 alpha=90.00 beta=90.00 gamma=142.85
Sites, in units of the cell vectors:
Dy1 0.029 0.971 0.500
Dy2 0.196 0.804 0.953
Dy3 0.804 0.196 0.453
Dy4 0.971 0.029 0.000
Tm1 0.401 0.599 0.708
Tm2 0.599 0.401 0.208
Tl1 0.218 0.782 0.439
Tl2 0.406 0.594 0.225
Tl3 0.594 0.406 0.725
Tl4 0.782 0.218 0.939



Entry from the Alexandria database: a geometry-optimized CsThClO2 structure (PBE).

Computed properties:
The value obtained for the magnetization is 0.00 μB/f.u. Its space-group type is P4mm, No. 99. The energy relative to the elements, uncorrected is -2.754 eV per atom. The crystal system is tetragonal. The calculation puts the theoretical density at 5.2 g/cm³.

Unit cell a=4.334 b=4.334 c=7.401 alpha=90.00 beta=90.00 gamma=90.00
Sites, in units of the cell vectors:
Cs1 0.000 0.000 0.000
Th1 0.500 0.500 0.379
Cl1 0.500 0.500 0.763
O1 0.000 0.500 0.300
O2 0.500 0.000 0.300



Entry from the Alexandria database: a geometry-optimized ErPS structure (PBE).

Computed properties:
The value obtained for the magnetization is 0.00 μB/f.u. Its space-group type is Pnma, No. 62. The energy relative to the elements, uncorrected is -1.555 eV per atom. The crystal system is orthorhombic. The calculation puts the theoretical density at 6.6 g/cm³.

Unit cell a=5.305 b=5.286 c=16.625 alpha=90.00 beta=90.00 gamma=90.00
Sites, in units of the cell vectors:
Er1 0.014 0.250 0.146
Er2 0.016 0.750 0.362
Er3 0.484 0.250 0.862
Er4 0.486 0.750 0.646
Er5 0.514 0.250 0.354
Er6 0.516 0.750 0.138
Er7 0.984 0.250 0.638
Er8 0.986 0.750 0.854
P1 0.210 0.535 0.998
P2 0.210 0.965 0.998
P3 0.290 0.035 0.498
P4 0.290 0.465 0.498
P5 0.710 0.535 0.502
P6 0.710 0.965 0.502
P7 0.790 0.035 0.002
P8 0.790 0.465 0.002
S1 0.011 0.250 0.315
S2 0.015 0.750 0.189
S3 0.485 0.250 0.689
S4 0.489 0.750 0.815
S5 0.511 0.250 0.185
S6 0.515 0.750 0.311
S7 0.985 0.250 0.811
S8 0.989 0.750 0.685



Taking the records one at a time from the top gives total energy values of -77.32; -17.78; -64.36; -20.31; -7.67; -88.77; -64.93; -65.37; -42.02; -39.04; -33.81; -150.13 eV for the cell shown.